# 1
{"formula": "CsRb2SbCl6", "functional": "GGA-PBEsol", "state": "relaxed", "dft_energy_ev_per_atom": -3.422, "spacegroup": "Fm-3m (225)", "lattice": [[8.2054, 0.0000, 0.0000], [4.1027, 7.1061, 0.0000], [4.1027, 2.3687, 6.6997]], "species": ["Cs", "Sb", "Rb", "Rb", "Cl", "Cl", "Cl", "Cl", "Cl", "Cl"], "frac_coords": [[0.5000, 0.5000, 0.5000], [0.0000, 0.0000, 0.0000], [0.7500, 0.7500, 0.7500], [0.2500, 0.2500, 0.2500], [0.7735, 0.2265, 0.2265], [0.7735, 0.7735, 0.2265], [0.2265, 0.7735, 0.7735], [0.7735, 0.2265, 0.7735], [0.2265, 0.7735, 0.2265], [0.2265, 0.2265, 0.7735]]}

# 2
{"formula": "CsRb2ScCl6", "functional": "GGA-PBEsol", "state": "relaxed", "dft_energy_ev_per_atom": -4.154, "spacegroup": "Fm-3m (225)", "lattice": [[-4.2932, 4.7166, 4.7788], [-0.9540, -1.9139, 7.6774], [3.6167, 4.2941, 5.6565]], "species": ["Cs", "Sc", "Rb", "Rb", "Cl", "Cl", "Cl", "Cl", "Cl", "Cl"], "frac_coords": [[0.5000, 0.5000, 0.5000], [0.0000, 0.0000, 0.0000], [0.7500, 0.7500, 0.7500], [0.2500, 0.2500, 0.2500], [0.7813, 0.2187, 0.2187], [0.2187, 0.7813, 0.2187], [0.2187, 0.2187, 0.7813], [0.7813, 0.2187, 0.7813], [0.7813, 0.7813, 0.2187], [0.2187, 0.7813, 0.7813]]}

# 3
{"formula": "Cs2RbScCl6", "functional": "GGA-PBEsol", "state": "relaxed", "dft_energy_ev_per_atom": -4.231, "spacegroup": "Fm-3m (225)", "lattice": [[-0.4080, -2.7363, 7.2834], [4.3727, -6.0882, 2.1248], [5.9839, 1.0174, 4.8845]], "species": ["Cs", "Cs", "Rb", "Sc", "Cl", "Cl", "Cl", "Cl", "Cl", "Cl"], "frac_coords": [[0.7500, 0.7500, 0.7500], [0.2500, 0.2500, 0.2500], [0.5000, 0.5000, 0.5000], [0.0000, 0.0000, 0.0000], [0.7761, 0.2239, 0.2239], [0.7761, 0.7761, 0.2239], [0.2239, 0.7761, 0.7761], [0.7761, 0.2239, 0.7761], [0.2239, 0.7761, 0.2239], [0.2239, 0.2239, 0.7761]]}